5
Lattice="4.718 0.000 0.000 0.000 4.718 0.000 0.000 0.000 4.718" Properties=species:S:1:pos:R:3 comment="SrFe3H, PBEsol geometry, DFT SCAN" dft_energy_ev_per_cell=-65.25 pbc="T T T"
H 2.359 2.359 2.359
Sr 0.000 0.000 0.000
Fe 0.000 0.000 2.359
Fe 2.359 0.000 0.000
Fe 0.000 2.359 0.000